#P
# AsPb2I

Crystalline AsPb2I at its relaxed geometry (PBE, Alexandria).

## Properties
As for the space-group type: No. 225. The total magnetization comes out at 0.00 μB per formula unit.

Cell: 5.541 5.541 5.541 Å, 60.00 60.00 60.00°
Element x y z (fractional)
As: 0.000 0.000 0.000
Pb: 0.250 0.250 0.250
Pb: 0.750 0.750 0.750
I: 0.500 0.500 0.500

#Q
# AsPb2I

Crystalline AsPb2I at its relaxed geometry (PBE, Alexandria).

## Properties
As for the space-group type: No. 122. The total magnetization comes out at 0.00 μB per formula unit.

Cell: 7.387 7.387 7.387 Å, 112.38 112.38 103.80°
Element x y z (fractional)
As: 0.000 0.000 0.000
As: 0.750 0.250 0.500
Pb: 0.072 0.625 0.947
Pb: 0.375 0.322 0.447
Pb: 0.678 0.125 0.053
Pb: 0.875 0.928 0.553
I: 0.250 0.750 0.500
I: 0.500 0.500 0.000

Least stable: #P

#P
# AsPbI2

Crystalline AsPbI2 at its relaxed geometry (PBE, Alexandria).

## Properties
As for the space-group type: No. 225. The total magnetization comes out at 1.48 μB per formula unit.

Cell: 5.611 5.611 5.611 Å, 60.00 60.00 60.00°
Element x y z (fractional)
As: 0.000 0.000 0.000
Pb: 0.500 0.500 0.500
I: 0.250 0.250 0.250
I: 0.750 0.750 0.750

#Q
# AsPbI2

Crystalline AsPbI2 at its relaxed geometry (PBE, Alexandria).

## Properties
As for the space-group type: No. 122. The total magnetization comes out at 0.00 μB per formula unit.

Cell: 10.873 10.873 10.873 Å, 151.52 151.52 40.71°
Element x y z (fractional)
As: 0.000 0.000 0.000
As: 0.750 0.250 0.500
Pb: 0.250 0.750 0.500
Pb: 0.500 0.500 0.000
I: 0.104 0.625 0.979
I: 0.375 0.354 0.479
I: 0.646 0.125 0.021
I: 0.875 0.896 0.521

Least stable: #P

#P
# AsPb2I2

Crystalline AsPb2I2 at its relaxed geometry (PBE, Alexandria).

## Properties
As for the space-group type: No. 139. The total magnetization comes out at 1.04 μB per formula unit.

Cell: 8.009 8.009 8.009 Å, 142.19 142.19 54.55°
Element x y z (fractional)
As: 0.000 0.000 0.000
Pb: 0.387 0.387 0.000
Pb: 0.613 0.613 0.000
I: 0.250 0.750 0.500
I: 0.750 0.250 0.500

#Q
# AsPb2I2

Crystalline AsPb2I2 at its relaxed geometry (PBE, Alexandria).

## Properties
As for the space-group type: No. 127. The total magnetization comes out at 1.05 μB per formula unit.

Cell: 8.155 8.155 5.236 Å, 90.00 90.00 90.00°
Element x y z (fractional)
As: 0.000 0.000 0.000
As: 0.500 0.500 0.000
Pb: 0.166 0.334 0.000
Pb: 0.334 0.834 0.000
Pb: 0.666 0.166 0.000
Pb: 0.834 0.666 0.000
I: 0.169 0.669 0.500
I: 0.331 0.169 0.500
I: 0.669 0.831 0.500
I: 0.831 0.331 0.500

Least stable: #P

#P
# As2PbI

Crystalline As2PbI at its relaxed geometry (PBE, Alexandria).

## Properties
As for the space-group type: No. 122. The total magnetization comes out at 0.00 μB per formula unit.

Cell: 7.393 7.393 7.393 Å, 120.07 120.07 89.88°
Element x y z (fractional)
As: 0.102 0.625 0.977
As: 0.375 0.352 0.477
As: 0.648 0.125 0.023
As: 0.875 0.898 0.523
Pb: 0.000 0.000 0.000
Pb: 0.750 0.250 0.500
I: 0.250 0.750 0.500
I: 0.500 0.500 0.000

#Q
# As2PbI

Crystalline As2PbI at its relaxed geometry (PBE, Alexandria).

## Properties
As for the space-group type: No. 225. The total magnetization comes out at 0.00 μB per formula unit.

Cell: 5.246 5.246 5.246 Å, 60.00 60.00 60.00°
Element x y z (fractional)
As: 0.250 0.250 0.250
As: 0.750 0.750 0.750
Pb: 0.000 0.000 0.000
I: 0.500 0.500 0.500

Least stable: #Q